CrRe2, relaxed, DFT PBE; VASP energy = -34.08 eV per formula unit; SG = Immm (71); energy of formation = 0.1458 eV/atom
1.0
4.688 0.010 -0.005
2.333 4.066 0.005
-3.133 -2.689 2.221
Cr Re
1 2
Direct
0.000 0.000 0.000 Cr
0.335 0.335 0.000 Re
0.665 0.665 0.000 Re